Entry 1:
A plane-wave DFT calculation with PBE was carried out for a relaxed PrNd6Mg2 crystal.

- Total moment: 0.000 μB/cell
- Raw total energy: -36.04 eV per cell
- SG: C222 (21)
- Calculated density: 5955 kg/m³
- Polymorph energy (0 for the lowest one): 0.00 kJ per mole of atoms

Cell: 6.191 6.191 8.865 Å, 90.00 90.00 120.03°
Fractional coordinates of all 9 atoms:
Pr 0.000 0.000 0.000
Nd 0.158 0.330 0.340
Nd 0.328 0.672 0.000
Nd 0.330 0.158 0.660
Nd 0.670 0.842 0.660
Nd 0.672 0.328 0.000
Nd 0.842 0.670 0.340
Mg 0.000 0.500 0.672
Mg 0.500 0.000 0.328

Entry 2:
A plane-wave DFT calculation with PBE was carried out for a relaxed PrNd9Mg2 crystal.

- Total moment: 0.001 μB/cell
- Raw total energy: -50.82 eV per cell
- SG: P4/mmm (123)
- Calculated density: 6197 kg/m³

Cell: 5.095 5.095 15.356 Å, 90.00 90.00 90.00°
Fractional coordinates of all 12 atoms:
Pr 0.000 0.000 0.000
Nd 0.000 0.500 0.172
Nd 0.000 0.500 0.500
Nd 0.000 0.500 0.828
Nd 0.500 0.000 0.172
Nd 0.500 0.000 0.500
Nd 0.500 0.000 0.828
Nd 0.500 0.500 0.000
Nd 0.500 0.500 0.338
Nd 0.500 0.500 0.662
Mg 0.000 0.000 0.338
Mg 0.000 0.000 0.662

Number 1: calculated volume 32.7 Å³ per atom, E_form 0.060 eV/atom. Number 2: calculated volume 33.2 Å³ per atom, E_form 0.005 eV/atom.